Record 1
# Pm3PrNd6Dy2 PBE-GGA relaxed
data_Pm3PrNd6Dy2
_cell_length_a 6.334
_cell_length_b 10.969
_cell_length_c 12.101
_cell_angle_alpha 90.00
_cell_angle_beta 100.08
_cell_angle_gamma 90.00
_symmetry_space_group_name_H-M 'C 1 2/m 1'
_symmetry_Int_Tables_number 12
loop_
_symmetry_equiv_pos_as_xyz
'x,y,z'
'-x,-y,-z'
'-x,y,-z'
'x,-y,z'
'x+1/2,y+1/2,z'
'-x+1/2,-y+1/2,-z'
'-x+1/2,y+1/2,-z'
'x+1/2,-y+1/2,z'
loop_
_atom_site_label
_atom_site_type_symbol
_atom_site_fract_x
_atom_site_fract_y
_atom_site_fract_z
_atom_site_occupancy
Pm1 Pm 0.000 0.000 0.000 1
Pm2 Pm 0.000 0.333 0.000 1
Pr1 Pr 0.000 0.500 0.500 1
Nd1 Nd 0.249 0.000 0.749 1
Nd2 Nd 0.249 0.167 0.251 1
Dy1 Dy 0.000 0.167 0.500 1
# ΔH_f (0 K), meV per atom: 13
# Volume, Å³ per atom: 34.49
# Total energy, eV/atom: -4.72

=====

Record 2
# Pm2PrNdDy PBE-GGA relaxed
data_Pm2PrNdDy
_cell_length_a 8.507
_cell_length_b 11.837
_cell_length_c 7.226
_cell_angle_alpha 90.00
_cell_angle_beta 90.00
_cell_angle_gamma 90.00
_symmetry_space_group_name_H-M 'C m c m'
_symmetry_Int_Tables_number 63
_symmetry_space_group_name_Hall '-C 2c 2'
loop_
_atom_site_label
_atom_site_type_symbol
_atom_site_fract_x
_atom_site_fract_y
_atom_site_fract_z
_atom_site_occupancy
Pm1 Pm 0.187 0.000 0.000 1
Pr1 Pr 0.000 0.231 0.250 1
Nd1 Nd 0.000 0.495 0.250 1
Dy1 Dy 0.000 0.228 0.750 1
# ΔH_f (0 K), meV per atom: 378
# Volume, Å³ per atom: 36.39
# Total energy, eV/atom: -4.35

=====

Record 3
# PmPr6NdDy2 PBE-GGA relaxed
data_PmPr6NdDy2
_cell_length_a 9.375
_cell_length_b 15.409
_cell_length_c 9.867
_cell_angle_alpha 90.00
_cell_angle_beta 98.16
_cell_angle_gamma 90.00
_symmetry_space_group_name_H-M 'C 1 2/c 1'
_symmetry_Int_Tables_number 15
loop_
_symmetry_equiv_pos_as_xyz
'x,y,z'
'-x,-y,-z'
'-x,y,-z+1/2'
'x,-y,z+1/2'
'x+1/2,y+1/2,z'
'-x+1/2,-y+1/2,-z'
'-x+1/2,y+1/2,-z+1/2'
'x+1/2,-y+1/2,z+1/2'
loop_
_atom_site_label
_atom_site_type_symbol
_atom_site_fract_x
_atom_site_fract_y
_atom_site_fract_z
_atom_site_occupancy
Pm1 Pm 0.000 0.028 0.250 1
Pr1 Pr 0.066 0.177 0.945 1
Pr2 Pr 0.097 0.393 0.120 1
Pr3 Pr 0.210 0.224 0.316 1
Nd1 Nd 0.000 0.407 0.750 1
Dy1 Dy 0.244 0.048 0.547 1
# ΔH_f (0 K), meV per atom: 111
# Volume, Å³ per atom: 35.27
# Total energy, eV/atom: -4.63

=====

Record 4
# Pm6Pr3Nd2Dy PBE-GGA relaxed
data_Pm6Pr3Nd2Dy
_cell_length_a 6.347
_cell_length_b 10.993
_cell_length_c 12.154
_cell_angle_alpha 90.00
_cell_angle_beta 100.08
_cell_angle_gamma 90.00
_symmetry_space_group_name_H-M 'C 1 2/m 1'
_symmetry_Int_Tables_number 12
loop_
_symmetry_equiv_pos_as_xyz
'x,y,z'
'-x,-y,-z'
'-x,y,-z'
'x,-y,z'
'x+1/2,y+1/2,z'
'-x+1/2,-y+1/2,-z'
'-x+1/2,y+1/2,-z'
'x+1/2,-y+1/2,z'
loop_
_atom_site_label
_atom_site_type_symbol
_atom_site_fract_x
_atom_site_fract_y
_atom_site_fract_z
_atom_site_occupancy
Pm1 Pm 0.249 0.166 0.248 1
Pm2 Pm 0.250 0.000 0.752 1
Pr1 Pr 0.000 0.167 0.500 1
Pr2 Pr 0.000 0.500 0.500 1
Nd1 Nd 0.000 0.333 0.000 1
Dy1 Dy 0.000 0.000 0.000 1
# ΔH_f (0 K), meV per atom: 14
# Volume, Å³ per atom: 34.79
# Total energy, eV/atom: -4.73

=====

Record 5
# Pm6PrNd3Dy2 PBE-GGA relaxed
data_Pm6PrNd3Dy2
_cell_length_a 6.316
_cell_length_b 10.938
_cell_length_c 12.098
_cell_angle_alpha 90.00
_cell_angle_beta 100.05
_cell_angle_gamma 90.00
_symmetry_space_group_name_H-M 'C 1 2/m 1'
_symmetry_Int_Tables_number 12
loop_
_symmetry_equiv_pos_as_xyz
'x,y,z'
'-x,-y,-z'
'-x,y,-z'
'x,-y,z'
'x+1/2,y+1/2,z'
'-x+1/2,-y+1/2,-z'
'-x+1/2,y+1/2,-z'
'x+1/2,-y+1/2,z'
loop_
_atom_site_label
_atom_site_type_symbol
_atom_site_fract_x
_atom_site_fract_y
_atom_site_fract_z
_atom_site_occupancy
Pm1 Pm 0.249 0.000 0.248 1
Pm2 Pm 0.250 0.167 0.752 1
Pr1 Pr 0.000 0.500 0.000 1
Nd1 Nd 0.000 0.000 0.500 1
Nd2 Nd 0.000 0.333 0.500 1
Dy1 Dy 0.000 0.167 0.000 1
# ΔH_f (0 K), meV per atom: 14
# Volume, Å³ per atom: 34.29
# Total energy, eV/atom: -4.72

=====

Record 6
# PmPr2Nd2Dy PBE-GGA relaxed
data_PmPr2Nd2Dy
_cell_length_a 7.139
_cell_length_b 5.797
_cell_length_c 10.010
_cell_angle_alpha 90.00
_cell_angle_beta 90.00
_cell_angle_gamma 90.00
_symmetry_space_group_name_H-M 'P m m a'
_symmetry_Int_Tables_number 51
loop_
_symmetry_equiv_pos_as_xyz
'x,y,z'
'-x,-y,-z'
'-x+1/2,-y,z'
'x+1/2,y,-z'
'x+1/2,-y,-z'
'-x+1/2,y,z'
'-x,y,-z'
'x,-y,z'
loop_
_atom_site_label
_atom_site_type_symbol
_atom_site_fract_x
_atom_site_fract_y
_atom_site_fract_z
_atom_site_occupancy
Pm1 Pm 0.250 0.000 0.162 1
Pr1 Pr 0.000 0.000 0.500 1
Pr2 Pr 0.250 0.500 0.673 1
Nd1 Nd 0.250 0.000 0.834 1
Nd2 Nd 0.250 0.500 0.334 1
Dy1 Dy 0.000 0.500 0.000 1
# ΔH_f (0 K), meV per atom: 54
# Volume, Å³ per atom: 34.52
# Total energy, eV/atom: -4.69

=====

Record 7
# PmPrNdDy PBE-GGA relaxed
data_PmPrNdDy
_cell_length_a 8.195
_cell_length_b 8.195
_cell_length_c 8.195
_cell_angle_alpha 90.00
_cell_angle_beta 90.00
_cell_angle_gamma 90.00
_symmetry_space_group_name_H-M 'F -4 3 m'
_symmetry_Int_Tables_number 216
_symmetry_space_group_name_Hall 'F -4 2 3'
loop_
_atom_site_label
_atom_site_type_symbol
_atom_site_fract_x
_atom_site_fract_y
_atom_site_fract_z
_atom_site_occupancy
Pm1 Pm 0.000 0.000 0.000 1
Pr1 Pr 0.250 0.250 0.250 1
Nd1 Nd 0.250 0.250 0.750 1
Dy1 Dy 0.000 0.000 0.500 1
# ΔH_f (0 K), meV per atom: 127
# Volume, Å³ per atom: 34.40
# Total energy, eV/atom: -4.60

=====

Record 8
# Pm2Pr6NdDy3 PBE-GGA relaxed
data_Pm2Pr6NdDy3
_cell_length_a 6.354
_cell_length_b 11.009
_cell_length_c 12.045
_cell_angle_alpha 90.00
_cell_angle_beta 100.11
_cell_angle_gamma 90.00
_symmetry_space_group_name_H-M 'C 1 2/m 1'
_symmetry_Int_Tables_number 12
loop_
_symmetry_equiv_pos_as_xyz
'x,y,z'
'-x,-y,-z'
'-x,y,-z'
'x,-y,z'
'x+1/2,y+1/2,z'
'-x+1/2,-y+1/2,-z'
'-x+1/2,y+1/2,-z'
'x+1/2,-y+1/2,z'
loop_
_atom_site_label
_atom_site_type_symbol
_atom_site_fract_x
_atom_site_fract_y
_atom_site_fract_z
_atom_site_occupancy
Pm1 Pm 0.000 0.167 0.000 1
Pr1 Pr 0.249 0.167 0.747 1
Pr2 Pr 0.249 0.500 0.747 1
Nd1 Nd 0.000 0.500 0.000 1
Dy1 Dy 0.000 0.000 0.500 1
Dy2 Dy 0.000 0.333 0.500 1
# ΔH_f (0 K), meV per atom: 13
# Volume, Å³ per atom: 34.56
# Total energy, eV/atom: -4.72